Entry 1:
Compound: RbSrTlHg
Source: Alexandria
Functional: PBE-GGA
Structure: optimized geometry

Properties
Total energy   -1.499 eV/atom
E_form   -0.169 eV per atom

Unit cell a=5.952 b=5.952 c=5.952 alpha=60.00 beta=60.00 gamma=60.00
Element x y z (fractional)
Hg 0.250 0.250 0.250
Rb 0.000 0.000 0.000
Sr 0.500 0.500 0.500
Tl 0.750 0.750 0.750

Entry 2:
Compound: RbSrZr2Hg
Source: Alexandria
Functional: PBE-GGA
Structure: optimized geometry

Properties
Total energy   -2.566 eV/atom
E_form   1.443 eV per atom

Unit cell a=5.560 b=6.151 c=5.560 alpha=90.00 beta=90.00 gamma=90.00
Site moments in Bohr magnetons follow the coordinates.
Element x y z (fractional)
Zr 0.000 0.000 0.500  0.42
Zr 0.500 0.000 0.000  0.30
Sr 0.000 0.000 0.000  0.12
Rb 0.500 0.500 0.500  0.01
Hg 0.000 0.500 0.000  0.01

Entry 3:
Compound: RbTa2Hg
Source: Alexandria
Functional: PBE-GGA
Structure: optimized geometry

Properties
Total energy   -4.798 eV/atom
E_form   1.446 eV per atom

Unit cell a=4.302 b=4.302 c=11.519 alpha=79.24 beta=79.24 gamma=90.00
Element x y z (fractional)
Hg 0.000 0.000 0.000
Hg 0.750 0.250 0.500
Ta 0.375 0.310 0.750
Ta 0.875 0.940 0.750
Ta 0.690 0.125 0.250
Ta 0.060 0.625 0.250
Rb 0.250 0.750 0.500
Rb 0.500 0.500 0.000

Entry 4:
Compound: Rb3TaHg
Source: Alexandria
Functional: PBE-GGA
Structure: optimized geometry

Properties
Total energy   -1.788 eV/atom
E_form   1.223 eV per atom

Unit cell a=7.068 b=7.068 c=7.068 alpha=90.00 beta=90.00 gamma=90.00
Site moments in Bohr magnetons follow the coordinates.
Element x y z (fractional)
Rb 0.000 0.000 0.500  0.05
Rb 0.500 0.000 0.000  0.06
Rb 0.000 0.500 0.000  0.06
Ta 0.000 0.000 0.000  2.50
Hg 0.500 0.500 0.500  0.04

Entry 5:
Compound: RbTaHgW2
Source: Alexandria
Functional: PBE-GGA
Structure: optimized geometry

Properties
Total energy   -4.145 eV/atom
E_form   3.661 eV per atom

Unit cell a=4.727 b=5.203 c=4.727 alpha=90.00 beta=90.00 gamma=90.00
Element x y z (fractional)
W 0.500 0.000 0.000
W 0.000 0.000 0.500
Ta 0.500 0.500 0.500
Rb 0.000 0.000 0.000
Hg 0.000 0.500 0.000

Entry 6:
Compound: RbTbHg2
Source: Alexandria
Functional: PBE-GGA
Structure: optimized geometry

Properties
Total energy   -1.807 eV/atom
E_form   -0.256 eV per atom

Unit cell a=3.860 b=3.860 c=8.642 alpha=90.00 beta=90.00 gamma=90.00
Element x y z (fractional)
Tb 0.500 0.500 0.000
Rb 0.500 0.500 0.500
Hg 0.000 0.000 0.193
Hg 0.000 0.000 0.807

Entry 7:
Compound: RbTbHg
Source: Alexandria
Functional: PBE-GGA
Structure: optimized geometry

Properties
Total energy   -1.888 eV/atom
E_form   0.079 eV per atom

Unit cell a=4.001 b=3.988 c=17.303 alpha=90.00 beta=90.00 gamma=120.11
Site moments in Bohr magnetons follow the coordinates.
Element x y z (fractional)
Rb 0.274 0.548 0.169  0.00
Rb 0.274 0.548 0.831  0.00
Hg 0.608 0.217 0.000  -0.01
Hg 0.281 0.562 0.500  -0.01
Tb 0.615 0.229 0.619  0.07
Tb 0.615 0.229 0.381  0.07

Entry 8:
Compound: RbTb2HgTe4
Source: Alexandria
Functional: PBE-GGA
Structure: optimized geometry

Properties
Formation energy without anion corrections   -7.970 eV/f.u.
Total energy   -3.883 eV/atom

Unit cell a=4.481 b=7.994 c=16.831 alpha=90.00 beta=90.00 gamma=106.28
Element x y z (fractional)
Te 0.739 0.479 0.590
Te 0.739 0.479 0.910
Te 0.261 0.521 0.410
Te 0.261 0.521 0.090
Te 0.000 0.000 0.000
Te 0.000 0.000 0.500
Te 0.558 0.115 0.250
Te 0.442 0.885 0.750
Tb 0.378 0.755 0.931
Tb 0.622 0.245 0.431
Tb 0.622 0.245 0.069
Tb 0.378 0.755 0.569
Rb 0.127 0.254 0.750
Rb 0.873 0.746 0.250
Hg 0.187 0.375 0.250
Hg 0.813 0.625 0.750

Please write out number 8 again, unchanged.
Compound: RbTb2HgTe4
Source: Alexandria
Functional: PBE-GGA
Structure: optimized geometry

Properties
Formation energy without anion corrections   -7.970 eV/f.u.
Total energy   -3.883 eV/atom

Unit cell a=4.481 b=7.994 c=16.831 alpha=90.00 beta=90.00 gamma=106.28
Element x y z (fractional)
Te 0.739 0.479 0.590
Te 0.739 0.479 0.910
Te 0.261 0.521 0.410
Te 0.261 0.521 0.090
Te 0.000 0.000 0.000
Te 0.000 0.000 0.500
Te 0.558 0.115 0.250
Te 0.442 0.885 0.750
Tb 0.378 0.755 0.931
Tb 0.622 0.245 0.431
Tb 0.622 0.245 0.069
Tb 0.378 0.755 0.569
Rb 0.127 0.254 0.750
Rb 0.873 0.746 0.250
Hg 0.187 0.375 0.250
Hg 0.813 0.625 0.750